1.
# CrN2O2

A geometry-optimized CrN2O2 structure (GGA-PBEsol, Alexandria).

Calculated values
offset from the most stable computed form	0.7143	eV/atom
ΔE_f (raw)	1.61	eV/atom
magnetic moment	1.86	μB/cell
DFT total energy	-5.95	eV per atom

Cell lengths 3.560, 3.403, 3.403 Å; angles 90.00, 90.00, 90.00 degrees
Each line ends with the local moment (μB).
Sites, in units of the cell vectors:
N 0.000 0.500 0.000  -0.37
N 0.000 0.000 0.500  -0.37
O 0.500 0.000 0.000  -0.29
O 0.000 0.000 0.000  0.02
Cr 0.500 0.500 0.500  2.97

=====

2.
# TlZnHgH2

A geometry-optimized TlZnHgH2 structure (GGA-PBEsol, Alexandria).

Calculated values
magnetic moment	0.00	μB/cell
DFT total energy	-1.88	eV per atom

Cell lengths 3.861, 3.861, 5.674 Å; angles 90.00, 90.00, 90.00 degrees
Sites, in units of the cell vectors:
Zn 0.000 0.000 0.500
H 0.000 0.500 0.000
H 0.500 0.000 0.000
Tl 0.000 0.000 0.000
Hg 0.500 0.500 0.500

=====

3.
# Rh3CF

A geometry-optimized Rh3CF structure (GGA-PBEsol, Alexandria).

Calculated values
ΔE_f (raw)	1.99	eV/atom
magnetic moment	0.00	μB/cell
DFT total energy	-5.21	eV per atom

Cell lengths 4.083, 4.083, 4.083 Å; angles 90.00, 90.00, 90.00 degrees
Sites, in units of the cell vectors:
Rh 0.000 0.000 0.500
Rh 0.500 0.000 0.000
Rh 0.000 0.500 0.000
F 0.000 0.000 0.000
C 0.500 0.500 0.500

=====

4.
# Y2SiTe

A geometry-optimized Y2SiTe structure (GGA-PBEsol, Alexandria).

Calculated values
offset from the most stable computed form	0.3251	eV/atom
ΔE_f (raw)	-0.83	eV/atom
magnetic moment	0.00	μB/cell
DFT total energy	-6.56	eV per atom

Cell lengths 4.445, 5.299, 5.299 Å; angles 64.72, 65.20, 65.20 degrees
Sites, in units of the cell vectors:
Te 0.000 0.500 0.500
Y 0.761 0.239 0.239
Y 0.239 0.761 0.761
Si 0.500 0.000 0.000

=====

5.
# TlCrW2

A geometry-optimized TlCrW2 structure (GGA-PBEsol, Alexandria).

Calculated values
offset from the most stable computed form	0.1484	eV/atom
calculated formation energy	290	kJ/mol of formula units
magnetic moment	1.95	μB/cell
DFT total energy	-9.37	eV per atom

Cell lengths 3.354, 4.312, 4.445 Å; angles 90.00, 90.00, 90.00 degrees
Each line ends with the local moment (μB).
Sites, in units of the cell vectors:
Tl 0.000 0.500 0.500  -0.01
Cr 0.500 0.000 0.500  2.08
W 0.000 0.000 0.000  -0.31
W 0.500 0.500 0.000  0.12

=====

6.
# TaMoW

A geometry-optimized TaMoW structure (GGA-PBEsol, Alexandria).

Calculated values
offset from the most stable computed form	0.0480	eV/atom
calculated formation energy	-28	kJ/mol of formula units
magnetic moment	0.00	μB/cell
DFT total energy	-12.81	eV per atom

Cell lengths 2.765, 4.487, 4.487 Å; angles 120.00, 90.00, 90.00 degrees
Sites, in units of the cell vectors:
W 0.323 0.667 0.333
Ta 0.673 0.333 0.667
Mo 0.004 0.000 0.000

=====

7.
# Nb2ZnSeCl

A geometry-optimized Nb2ZnSeCl structure (GGA-PBEsol, Alexandria).

Calculated values
ΔE_f (raw)	0.88	eV/atom
magnetic moment	0.00	μB/cell
DFT total energy	-4.94	eV per atom

Cell lengths 4.641, 4.815, 4.815 Å; angles 90.00, 90.00, 90.00 degrees
Sites, in units of the cell vectors:
Se 0.000 0.000 0.000
Nb 0.000 0.500 0.000
Nb 0.000 0.000 0.500
Zn 0.500 0.000 0.000
Cl 0.500 0.500 0.500

=====

8.
# LaInNi

A geometry-optimized LaInNi structure (GGA-PBEsol, Alexandria).

Calculated values
calculated formation energy	-140	kJ/mol of formula units
magnetic moment	0.00	μB/cell
DFT total energy	-5.31	eV per atom

Cell lengths 4.082, 7.391, 7.391 Å; angles 120.00, 90.00, 90.00 degrees
Sites, in units of the cell vectors:
La 0.500 0.000 0.417
La 0.500 0.583 0.583
La 0.500 0.417 0.000
Ni 0.500 0.000 0.000
Ni 0.000 0.667 0.333
Ni 0.000 0.333 0.667
In 0.000 0.000 0.758
In 0.000 0.758 0.000
In 0.000 0.242 0.242